The following is a GGA-PBE calculation of a relaxed structure of VTeHN2, from Alexandria via LeMat-Bulk.

abc: 4.047 4.047 3.398
angles: 90.00 90.00 90.00
Each line ends with the local moment (μB).
Fractional positions:
H: 0.000 0.000 0.000  0.00
N: 0.000 0.500 0.000  -0.07
N: 0.500 0.000 0.000  -0.07
Te: 0.000 0.000 0.500  -0.04
V: 0.500 0.500 0.500  2.05

**Uncorrected energy**: -4.80 eV per atom
**V**: 56 Å³ per cell
**Polymorph energy (0 for the lowest one)**: 4.99 eV/f.u.